(1)
A plane-wave DFT calculation with PBE was carried out for a relaxed structure of NaCdHg6.

Results
* relative energy among the computed polymorphs: 0 meV/atom
* E_form: -0.091 eV/atom

Cell lengths 5.574, 6.549, 11.335 Å; angles 90.00, 90.00, 90.00 degrees
Space group Amm2 (No. 38)
Inequivalent atoms, fractional coordinates:
Na 0.000 0.000 0.000 (multiplicity 2)
Cd 0.500 0.000 0.668 (multiplicity 2)
Hg 0.000 0.000 0.501 (multiplicity 2)
Hg 0.000 0.249 0.750 (multiplicity 4)
Hg 0.500 0.000 0.168 (multiplicity 2)
Hg 0.500 0.250 0.418 (multiplicity 4)

(2)
A plane-wave DFT calculation with PBE was carried out for a relaxed structure of Ti3BeP.

Results
* relative energy among the computed polymorphs: 0 meV/atom
* E_form: 0.054 eV/atom

Cell lengths 4.498, 4.498, 4.498 Å; angles 90.00, 90.00, 90.00 degrees
Space group Pm-3m (No. 221)
Inequivalent atoms, fractional coordinates:
Ti 0.000 0.000 0.500 (multiplicity 3)
Be 0.500 0.500 0.500 (multiplicity 1)
P 0.000 0.000 0.000 (multiplicity 1)

(3)
A plane-wave DFT calculation with PBE was carried out for a relaxed structure of KIr3Cl.

Results
* relative energy among the computed polymorphs: 0 meV/atom
* formation energy (no corrections): 1.511 eV per atom

Cell lengths 4.573, 4.573, 4.573 Å; angles 90.00, 90.00, 90.00 degrees
Space group Pm-3m (No. 221)
Inequivalent atoms, fractional coordinates:
K 0.000 0.000 0.000 (multiplicity 1)
Ir 0.000 0.500 0.500 (multiplicity 3)
Cl 0.500 0.500 0.500 (multiplicity 1)

(4)
A plane-wave DFT calculation with PBE was carried out for a relaxed structure of NbBSe3.

Results
* relative energy among the computed polymorphs: 0 meV/atom
* formation energy (no corrections): 0.649 eV per atom

Cell lengths 4.410, 4.410, 4.410 Å; angles 90.00, 90.00, 90.00 degrees
Space group Pm-3m (No. 221)
Inequivalent atoms, fractional coordinates:
Nb 0.000 0.000 0.000 (multiplicity 1)
B 0.500 0.500 0.500 (multiplicity 1)
Se 0.000 0.500 0.500 (multiplicity 3)

(5)
A plane-wave DFT calculation with PBE was carried out for a relaxed structure of Ag3Ru5.

Results
* relative energy among the computed polymorphs: 218 meV/atom
* E_form: 0.861 eV/atom

Cell lengths 8.0802, 8.0802, 4.6964 Å; angles 90.00, 90.00, 120.00 degrees
Space group P6_3/mcm (No. 193)
Inequivalent atoms, fractional coordinates:
Ag 0.0000 0.3961 0.2500 (multiplicity 6)
Ru 0.0000 0.1842 0.7500 (multiplicity 6)
Ru 0.3333 0.6667 0.0000 (multiplicity 4)

(6)
A plane-wave DFT calculation with PBE was carried out for a relaxed structure of KP2.

Results
* E_form: 0.789 eV/atom

Cell lengths 5.0273, 5.0273, 6.1074 Å; angles 90.00, 90.00, 120.00 degrees
Space group P6_3/mmc (No. 194)
Inequivalent atoms, fractional coordinates:
K 0.3333 0.6667 0.2500 (multiplicity 2)
P 0.0000 0.0000 0.0000 (multiplicity 2)
P 0.3333 0.6667 0.7500 (multiplicity 2)

(7)
A plane-wave DFT calculation with PBE was carried out for a relaxed structure of CaSm2F.

Results
* formation energy (no corrections): -0.951 eV per atom

Cell lengths 3.7670, 3.7670, 28.3716 Å; angles 90.00, 90.00, 120.00 degrees
Space group R-3m (No. 166, hexagonal axes)
Inequivalent atoms, fractional coordinates:
Ca 0.0000 0.0000 0.0000 (multiplicity 3)
Sm 0.0000 0.0000 0.1189 (multiplicity 6)
F 0.0000 0.0000 0.5000 (multiplicity 3)

(8)
A plane-wave DFT calculation with PBE was carried out for a relaxed structure of RbMgCr2C.

Results
* E_form: 3.160 eV/atom

Cell lengths 6.647, 6.647, 7.225 Å; angles 90.00, 90.00, 90.00 degrees
Space group P4/mmm (No. 123)
Inequivalent atoms, fractional coordinates:
Rb 0.000 0.000 0.000 (multiplicity 1)
Mg 0.000 0.000 0.500 (multiplicity 1)
Cr 0.000 0.500 0.000 (multiplicity 2)
C 0.500 0.500 0.500 (multiplicity 1)

(9)
A plane-wave DFT calculation with PBE was carried out for a relaxed structure of Hf2Zn2Au.

Results
* relative energy among the computed polymorphs: 39 meV/atom
* E_form: -0.280 eV/atom

Cell lengths 4.263, 13.404, 3.114 Å; angles 90.00, 90.00, 90.00 degrees
Space group Cmmm (No. 65)
Inequivalent atoms, fractional coordinates:
Hf 0.000 0.117 0.000 (multiplicity 4)
Zn 0.000 0.299 0.500 (multiplicity 4)
Au 0.000 0.500 0.500 (multiplicity 2)

(10)
A plane-wave DFT calculation with PBE was carried out for a relaxed structure of BaLi2HgBi2.

Results
* E_form: -0.513 eV/atom

Cell lengths 5.036, 5.036, 6.907 Å; angles 90.00, 90.00, 90.00 degrees
Space group P4/mmm (No. 123)
Inequivalent atoms, fractional coordinates:
Ba 0.000 0.000 0.000 (multiplicity 1)
Li 0.000 0.500 0.500 (multiplicity 2)
Hg 0.000 0.000 0.500 (multiplicity 1)
Bi 0.500 0.500 0.236 (multiplicity 2)

(11)
A plane-wave DFT calculation with PBE was carried out for a relaxed structure of Ta2CdPt.

Results
* E_form: -0.133 eV/atom

Cell lengths 2.864, 2.864, 8.634 Å; angles 90.00, 90.00, 90.00 degrees
Space group P4/mmm (No. 123)
Inequivalent atoms, fractional coordinates:
Ta 0.000 0.000 0.235 (multiplicity 2)
Cd 0.500 0.500 0.500 (multiplicity 1)
Pt 0.500 0.500 0.000 (multiplicity 1)

(12)
A plane-wave DFT calculation with PBE was carried out for a relaxed structure of SrLi2Co.

Results
* relative energy among the computed polymorphs: 154 meV/atom
* E_form: 0.494 eV/atom

Cell lengths 4.273, 4.273, 20.535 Å; angles 90.00, 90.00, 90.00 degrees
Space group I-42d (No. 122)
Inequivalent atoms, fractional coordinates:
Sr 0.000 0.000 0.000 (multiplicity 4)
Li 0.166 0.250 0.625 (multiplicity 8)
Co 0.000 0.000 0.500 (multiplicity 4)

Table of density (kg/m³), in record order: 10747; 3349; 11307; 6593; 10368; 2510; 5141; 1174; 12778; 7297; 15696; 2842